No. 1
Pr2Tm3Cd2 | PBE | optimized geometry

The structure belongs to space group R-3m (No. 166, hexagonal axes); the cell edges are 5.4476, 5.4476 and 24.0481 Å and the angles 90.00°, 90.00° and 120.00°. The inequivalent atoms are Pr at (0.0000, 0.0000, 0.0760), Tm at (0.0000, 0.0000, 0.3458), Tm at (0.0000, 0.0000, 0.5000) and Cd at (0.0000, 0.0000, 0.2144).

Its calculated total energy is -3.673 eV per atom. The calculation puts the formation enthalpy at 0 K at -0.130 eV/atom.

=====

No. 2
HfPa7 | PBE | optimized geometry

The structure belongs to space group Fm-3m (No. 225); the cell edges are 9.271, 9.271 and 9.271 Å and the angles 90.00°, 90.00° and 90.00°. The inequivalent atoms are Hf at (0.000, 0.000, 0.000), Pa at (0.000, 0.000, 0.500) and Pa at (0.000, 0.250, 0.250).

Its calculated total energy is -9.501 eV per atom. The calculation puts the formation enthalpy at 0 K at 0.052 eV/atom.

=====

No. 3
BaTl3Br | PBE | optimized geometry

The structure belongs to space group Pm-3m (No. 221); the cell edges are 6.036, 6.036 and 6.036 Å and the angles 90.00°, 90.00° and 90.00°. The inequivalent atoms are Ba at (0.000, 0.000, 0.000), Tl at (0.000, 0.500, 0.500) and Br at (0.500, 0.500, 0.500).

Its calculated total energy is -2.325 eV per atom. The uncorrected formation energy is -0.9 eV per formula unit.

=====

No. 4
HfOsS2Cl | PBE | optimized geometry

The structure belongs to space group P4/mmm (No. 123); the cell edges are 4.946, 4.946 and 4.938 Å and the angles 90.00°, 90.00° and 90.00°. The inequivalent atoms are Hf at (0.000, 0.000, 0.000), Os at (0.500, 0.500, 0.500), S at (0.000, 0.500, 0.000) and Cl at (0.000, 0.000, 0.500).

Its calculated total energy is -5.785 eV per atom. The uncorrected formation energy is 2.4 eV per formula unit.

=====

No. 5
Y3Er5P8 | PBE | optimized geometry

The structure belongs to space group R-3m (No. 166, hexagonal axes); the cell edges are 7.9701, 7.9701 and 19.5199 Å and the angles 90.00°, 90.00° and 120.00°. The inequivalent atoms are Y at (0.0000, 0.5000, 0.0000), Er at (0.0000, 0.0000, 0.0000), Er at (0.0000, 0.0000, 0.5000), Er at (0.0000, 0.5000, 0.5000), P at (0.0000, 0.0000, 0.2490) and P at (0.0013, 0.5007, 0.7507).

Its calculated total energy is -6.961 eV per atom. The calculation puts the formation enthalpy at 0 K at -1.618 eV/atom.

=====

No. 6
CeErIrPd | PBE | optimized geometry

The structure belongs to space group F-43m (No. 216); the cell edges are 6.983, 6.983 and 6.983 Å and the angles 90.00°, 90.00° and 90.00°. The inequivalent atoms are Ce at (0.000, 0.000, 0.000), Er at (0.000, 0.000, 0.500), Ir at (0.250, 0.250, 0.250) and Pd at (0.250, 0.250, 0.750).

Its calculated total energy is -6.912 eV per atom. The calculation puts the formation enthalpy at 0 K at -0.774 eV/atom.

=====

No. 7
K2CoW | PBE | optimized geometry

The structure belongs to space group P2/m (No. 10); the cell edges are 2.732, 5.956 and 5.134 Å and the angles 90.00°, 96.62° and 90.00°. The inequivalent atoms are K at (0.213, 0.000, 0.257), Co at (0.000, 0.500, 0.500) and W at (0.500, 0.500, 0.000).

Its calculated total energy is -4.023 eV per atom. The calculation puts the formation enthalpy at 0 K at 1.540 eV/atom.

=====

No. 8
TlZnCr | PBE | optimized geometry

The structure belongs to space group I4mm (No. 107); the cell edges are 3.249, 3.249 and 11.122 Å and the angles 90.00°, 90.00° and 90.00°. The inequivalent atoms are Tl at (0.000, 0.000, 0.000), Zn at (0.000, 0.000, 0.687) and Cr at (0.000, 0.000, 0.316).

Its calculated total energy is -3.969 eV per atom. The calculation puts the formation enthalpy at 0 K at 0.452 eV/atom.

=====

No. 9
Th2ZnCo4As3 | PBE | optimized geometry

The structure belongs to space group P-4m2 (No. 115); the cell edges are 4.124, 4.124 and 9.623 Å and the angles 90.00°, 90.00° and 90.00°. The inequivalent atoms are Th at (0.000, 0.500, 0.245), Zn at (0.000, 0.000, 0.500), Co at (0.000, 0.000, 0.000), Co at (0.000, 0.500, 0.626), Co at (0.500, 0.500, 0.000), As at (0.000, 0.500, 0.869) and As at (0.500, 0.500, 0.500).

Its calculated total energy is -6.541 eV per atom. The calculation puts the formation enthalpy at 0 K at -0.692 eV/atom.

=====

No. 10
HgGe2Pb | PBE | optimized geometry

The structure belongs to space group Fm-3m (No. 225); the cell edges are 7.270, 7.270 and 7.270 Å and the angles 90.00°, 90.00° and 90.00°. The inequivalent atoms are Hg at (0.000, 0.000, 0.000), Ge at (0.250, 0.250, 0.250) and Pb at (0.000, 0.000, 0.500).

Its calculated total energy is -3.009 eV per atom. The calculation puts the formation enthalpy at 0 K at 0.302 eV/atom.

=====

No. 11
Cr2PRu | PBE | optimized geometry

The structure belongs to space group Amm2 (No. 38); the cell edges are 3.523, 2.795 and 10.275 Å and the angles 90.00°, 90.00° and 90.00°. The inequivalent atoms are Cr at (0.000, 0.000, 0.000), Cr at (0.500, 0.000, 0.355), P at (0.500, 0.000, 0.581) and Ru at (0.000, 0.000, 0.736).

Its calculated total energy is -8.619 eV per atom. The calculation puts the formation enthalpy at 0 K at -0.136 eV/atom.

=====

No. 12
Li4PmAu | PBE | optimized geometry

The structure belongs to space group F-43m (No. 216); the cell edges are 7.567, 7.567 and 7.567 Å and the angles 90.00°, 90.00° and 90.00°. The inequivalent atoms are Li at (0.122, 0.122, 0.122), Pm at (0.000, 0.000, 0.500) and Au at (0.250, 0.250, 0.750).

Its calculated total energy is -2.779 eV per atom. The calculation puts the formation enthalpy at 0 K at -0.165 eV/atom.